Entry from Alexandria: a geometry-optimized Cs2SbAuF6 structure (PBE-GGA).

Properties
Size of the total moment: 0.0 μB per cell
Electronic total energy: -4.18 eV per atom

Unit cell a=7.2061 b=7.2061 c=8.7311 alpha=90.00 beta=90.00 gamma=90.00
With the nearest neighbours (Å) after each atom.
Space group I4/mmm (No. 139)
Unique sites:
Cs 0.0000 0.5000 0.2500  12 F 3.38-3.60
Sb 0.0000 0.0000 0.0000  6 F 2.16-2.26
Au 0.0000 0.0000 0.5000  2 F 2.11
F 0.0000 0.0000 0.2583  1 Au 2.11, 1 Sb 2.26
F 0.2121 0.2121 0.0000  1 Sb 2.16